No. 1
Density functional theory data (PBE) for OsC2I after structural relaxation.

Properties
* offset from the most stable computed form: 6.03 eV/f.u.
* formation energy (no corrections): 2808 meV per atom

abc: 4.082 4.082 4.082
angles: 60.00 60.00 60.00
Fractional coordinates of all 4 atoms:
I: 0.000 0.000 0.000
C: 0.750 0.750 0.750
C: 0.250 0.250 0.250
Os: 0.500 0.500 0.500



No. 2
Density functional theory data (PBE) for Tb4Er5Mg2 after structural relaxation.

Properties
* offset from the most stable computed form: 1.19 eV/f.u.
* E_form: 242 meV/atom

abc: 3.402 8.791 12.349
angles: 110.85 97.92 90.00
Fractional coordinates of all 11 atoms:
Tb: 0.733 0.733 0.466
Tb: 0.267 0.267 0.534
Tb: 0.000 0.319 0.000
Tb: 0.000 0.681 0.000
Er: 0.500 0.000 0.000
Er: 0.861 0.665 0.722
Er: 0.861 0.057 0.722
Er: 0.139 0.943 0.278
Er: 0.139 0.335 0.278
Mg: 0.401 0.401 0.802
Mg: 0.599 0.599 0.198



No. 3
Density functional theory data (PBE) for MgSc2GaH after structural relaxation.

Properties
* offset from the most stable computed form: 0.57 eV/f.u.

abc: 4.485 4.485 4.167
angles: 90.00 90.00 90.00
Each line ends with the local moment (μB).
Fractional coordinates of all 5 atoms:
Mg: 0.500 0.500 0.500  0.00
H: 0.000 0.000 0.000  0.00
Sc: 0.000 0.500 0.000  0.23
Sc: 0.500 0.000 0.000  0.23
Ga: 0.000 0.000 0.500  -0.01



The lowest offset from the most stable computed form belongs to which entry?
MgSc2GaH



Which of these has the highest offset from the most stable computed form?
OsC2I



Which value of offset from the most stable computed form does entry 1 give?
6.03 eV/f.u.



offset from the most stable computed form of number 2 (Tb4Er5Mg2)?
1.19 eV/f.u.